Computed, not measured: crystalline La5Nd3Tl at its relaxed geometry at the PBE-GGA level of DFT.

Summary:
**DOS at the Fermi energy**: 54.5 states/eV per cell
**Total moment**: 0.00 μB/f.u.
**Formation energy**: 0.281 eV/atom
**E**: -4.31 eV/atom

Structure (CIF):
```
data_La5Nd3Tl
_cell_length_a 9.920
_cell_length_b 11.906
_cell_length_c 11.736
_cell_angle_alpha 90.00
_cell_angle_beta 92.57
_cell_angle_gamma 90.00
_space_group_name_H-M_alt 'C 1 2/m 1'
_space_group_IT_number 12
_space_group_name_Hall '-C 2y'
loop_
_atom_site_label
_atom_site_type_symbol
_atom_site_fract_x
_atom_site_fract_y
_atom_site_fract_z
La1 La 0.000 0.244 0.000
La2 La 0.012 0.000 0.239
La3 La 0.182 0.000 0.991
La4 La 0.207 0.240 0.679
Nd1 Nd 0.000 0.500 0.000
Nd2 Nd 0.000 0.500 0.500
Nd3 Nd 0.172 0.000 0.489
Nd4 Nd 0.174 0.500 0.767
Tl1 Tl 0.150 0.500 0.254
```